--- w ---
LiTlTeAs, relaxed, DFT PBE; total magnetization = 0.000 μB per formula unit
1.0
3.7263 -2.7242 0.0000
3.7263 2.7242 0.0000
-1.0201 0.0000 5.6776
Li Tl Te As
1 1 1 1
Direct
0.0000 0.0000 0.0000
0.6764 0.6764 0.4363
0.3692 0.3692 0.9453
0.2738 0.2738 0.3929

--- x ---
LiTlTeAs, relaxed, DFT PBE; total magnetization = 0.000 μB per formula unit
1.0
3.4413 -2.6309 0.0000
3.4413 2.6309 0.0000
-2.0589 0.0000 5.7822
Li Tl Te As
1 1 1 1
Direct
0.0000 0.0000 0.0000
0.8779 0.8779 0.4417
0.5433 0.5433 0.8276
0.4282 0.4282 0.1977

Stability verdict: w, ahead by 20 meV/atom

--- w ---
LiTlTeAs, relaxed, DFT PBE; total magnetization = 0.000 μB per formula unit
1.0
3.8600 0.0000 0.0000
0.0000 3.8600 0.0000
0.0000 0.0000 6.9746
Li Tl Te As
1 1 1 1
Direct
0.0000 0.0000 0.0000
0.0000 0.0000 0.5465
0.5000 0.5000 0.1754
0.5000 0.5000 0.8059

--- x ---
LiTlTeAs, relaxed, DFT PBE; total magnetization = 0.000 μB per formula unit
1.0
4.5258 0.0000 0.0000
-1.1297 4.3831 0.0000
-1.2513 -2.4964 5.9382
Li Tl Te As
1 1 1 1
Direct
0.0000 0.0000 0.0000
0.5300 0.9041 0.4426
0.5872 0.3759 0.9626
0.9117 0.4513 0.3705

Stability verdict: w, ahead by 8 meV/atom

--- w ---
LiTlTeAs, relaxed, DFT PBE; total magnetization = 0.000 μB per formula unit
1.0
4.6804 0.0000 0.0000
0.0000 4.5205 0.0000
-0.0537 0.0000 5.6706
Li Tl Te As
1 1 1 1
Direct
0.0000 0.0000 0.0000
0.4954 0.0000 0.5560
0.9917 0.5000 0.2954
0.9990 0.5000 0.7572

--- x ---
LiTlTeAs, relaxed, DFT PBE; total magnetization = 0.000 μB per formula unit
1.0
4.4620 0.0000 0.0000
0.0000 3.7887 0.0000
-1.0354 0.0000 6.2007
Li Tl Te As
1 1 1 1
Direct
0.0000 0.0000 0.0000
0.1642 0.0000 0.5074
0.5348 0.5000 0.1006
0.6856 0.5000 0.7197

Stability verdict: x, ahead by 67 meV/atom

--- w ---
Li3TiAs, relaxed, DFT PBE; total magnetization = 0.000 μB per formula unit
1.0
4.5745 0.0000 0.0000
0.0000 4.5745 0.0000
0.0000 0.0000 4.5745
Li Ti As
3 1 1
Direct
0.0000 0.0000 0.5000
0.0000 0.5000 0.0000
0.5000 0.0000 0.0000
0.5000 0.5000 0.5000
0.0000 0.0000 0.0000

--- x ---
Li3TiAs, relaxed, DFT PBE; total magnetization = 3.035 μB per formula unit
1.0
4.8304 0.0000 0.0000
0.0000 4.8304 0.0000
0.0000 0.0000 4.8304
Li Ti As
3 1 1
Direct
0.0000 0.0000 0.5000
0.0000 0.5000 0.0000
0.5000 0.0000 0.0000
0.0000 0.0000 0.0000
0.5000 0.5000 0.5000

Stability verdict: w, ahead by 638 meV/atom

--- w ---
LiTiAs2, relaxed, DFT PBE; total magnetization = 0.000 μB per formula unit
1.0
1.9149 1.1056 5.6188
-1.9149 1.1056 5.6188
0.0000 -2.2111 5.6188
Li Ti As
1 1 2
Direct
0.0000 0.0000 0.0000
0.8239 0.8239 0.8239
0.2408 0.2408 0.2408
0.4091 0.4091 0.4091

--- x ---
LiTiAs2, relaxed, DFT PBE; total magnetization = 0.000 μB per formula unit
1.0
1.7104 0.9875 7.1903
-1.7104 0.9875 7.1903
0.0000 -1.9751 7.1903
Li Ti As
1 1 2
Direct
0.0000 0.0000 0.0000
0.5000 0.5000 0.5000
0.2449 0.2449 0.2449
0.7551 0.7551 0.7551

Stability verdict: w, ahead by 16 meV/atom

--- w ---
LiTiAs2, relaxed, DFT PBE; total magnetization = 0.000 μB per formula unit
1.0
-2.6240 2.6240 6.9850
2.6240 -2.6240 6.9850
2.6240 2.6240 -6.9850
Li Ti As
2 2 4
Direct
0.0000 0.0000 0.0000
0.7500 0.2500 0.5000
0.2500 0.7500 0.5000
0.5000 0.5000 0.0000
0.1596 0.6250 0.0346
0.3750 0.4096 0.5346
0.5904 0.1250 0.9654
0.8750 0.8404 0.4654

--- x ---
LiTiAs2, relaxed, DFT PBE; total magnetization = 0.915 μB per formula unit
1.0
3.3964 0.0000 0.0000
0.0000 3.3964 0.0000
0.0000 0.0000 5.8328
Li Ti As
1 1 2
Direct
0.0000 0.0000 0.0000
0.0000 0.0000 0.5000
0.5000 0.5000 0.2686
0.5000 0.5000 0.7314

Stability verdict: x, ahead by 361 meV/atom

--- w ---
LiTl3As, relaxed, DFT PBE; total magnetization = 0.000 μB per formula unit
1.0
5.6191 0.0000 0.0000
0.0000 5.6191 0.0000
0.0000 0.0000 5.6191
Li Tl As
1 3 1
Direct
0.0000 0.0000 0.0000
0.0000 0.5000 0.5000
0.5000 0.0000 0.5000
0.5000 0.5000 0.0000
0.5000 0.5000 0.5000

--- x ---
LiTl3As, relaxed, DFT PBE; total magnetization = 0.000 μB per formula unit
1.0
5.1421 0.0000 0.0000
0.0000 5.1421 0.0000
0.0000 0.0000 5.1421
Li Tl As
1 3 1
Direct
0.0000 0.0000 0.0000
0.0000 0.0000 0.5000
0.0000 0.5000 0.0000
0.5000 0.0000 0.0000
0.5000 0.5000 0.5000

Stability verdict: x, ahead by 56 meV/atom

--- w ---
LiTlAs, relaxed, DFT PBE; total magnetization = 0.000 μB per formula unit
1.0
3.8740 -2.3015 0.0000
3.8740 2.3015 0.0000
-3.1255 0.0000 8.2966
Li Tl As
2 2 2
Direct
0.1675 0.1675 0.4065
0.8325 0.8325 0.5935
0.2574 0.2574 0.8490
0.7426 0.7426 0.1510
0.4883 0.4883 0.3530
0.5117 0.5117 0.6470

--- x ---
LiTlAs, relaxed, DFT PBE; total magnetization = 0.000 μB per formula unit
1.0
-1.9843 3.2609 5.3764
1.9843 -3.2609 5.3764
1.9843 3.2609 -5.3764
Li Tl As
2 2 2
Direct
0.2165 0.0000 0.2165
0.7835 0.0000 0.7835
0.3283 0.3283 0.0000
0.6717 0.6717 0.0000
0.1167 0.6167 0.5000
0.8833 0.3833 0.5000

--- y ---
LiTlAs, relaxed, DFT PBE; total magnetization = 0.000 μB per formula unit
1.0
4.4427 0.0000 0.0000
-2.2213 3.8475 0.0000
0.0000 0.0000 3.9321
Li Tl As
1 1 1
Direct
0.0000 0.0000 0.0000
0.3333 0.6667 0.5003
0.6667 0.3333 0.0018

--- z ---
LiTlAs, relaxed, DFT PBE; total magnetization = 0.000 μB per formula unit
1.0
0.0000 3.3656 3.3656
3.3656 0.0000 3.3656
3.3656 3.3656 0.0000
Li Tl As
1 1 1
Direct
0.0000 0.0000 0.0000
0.7500 0.7500 0.7500
0.5000 0.5000 0.5000

Stability verdict: w, ahead by 77 meV/atom

--- w ---
LiTlAs, relaxed, DFT PBE; total magnetization = 0.000 μB per formula unit
1.0
0.0000 3.1872 3.1872
3.1872 0.0000 3.1872
3.1872 3.1872 0.0000
Li Tl As
1 1 1
Direct
0.0000 0.0000 0.0000
0.2500 0.2500 0.2500
0.7500 0.7500 0.7500

--- x ---
LiTlAs, relaxed, DFT PBE; total magnetization = 0.000 μB per formula unit
1.0
-1.5949 2.0258 5.2552
1.5949 -2.0258 5.2552
1.5949 2.0258 -5.2552
Li Tl As
1 1 1
Direct
0.0000 0.0000 0.0000
0.7195 0.7195 0.0000
0.4081 0.4081 0.0000

Stability verdict: x, ahead by 23 meV/atom

--- w ---
LiTl2As2, relaxed, DFT PBE; total magnetization = 0.000 μB per formula unit
1.0
6.9633 0.0000 0.0000
0.0000 6.9633 0.0000
0.0000 0.0000 5.1084
Li Tl As
2 4 4
Direct
0.0000 0.0000 0.0000
0.5000 0.5000 0.0000
0.1880 0.3120 0.5000
0.3120 0.8120 0.5000
0.6880 0.1880 0.5000
0.8120 0.6880 0.5000
0.1238 0.6238 0.0000
0.3762 0.1238 0.0000
0.6238 0.8762 0.0000
0.8762 0.3762 0.0000

--- x ---
LiTl2As2, relaxed, DFT PBE; total magnetization = 0.000 μB per formula unit
1.0
-1.9197 1.9197 8.5871
1.9197 -1.9197 8.5871
1.9197 1.9197 -8.5871
Li Tl As
1 2 2
Direct
0.0000 0.0000 0.0000
0.3991 0.3991 0.0000
0.6009 0.6009 0.0000
0.2500 0.7500 0.5000
0.7500 0.2500 0.5000

--- y ---
LiTl2As2, relaxed, DFT PBE; total magnetization = 0.000 μB per formula unit
1.0
8.1313 0.0000 0.0000
0.0000 8.1313 0.0000
0.0000 0.0000 4.2434
Li Tl As
2 4 4
Direct
0.0000 0.0000 0.0000
0.5000 0.5000 0.0000
0.1693 0.3307 0.0000
0.3307 0.8307 0.0000
0.6693 0.1693 0.0000
0.8307 0.6693 0.0000
0.1055 0.6055 0.5000
0.3945 0.1055 0.5000
0.6055 0.8945 0.5000
0.8945 0.3945 0.5000

--- z ---
LiTl2As2, relaxed, DFT PBE; total magnetization = 0.000 μB per formula unit
1.0
5.3294 -2.8476 0.0000
5.3294 2.8476 0.0000
-1.0367 0.0000 8.4062
Li Tl As
2 4 4
Direct
0.1696 0.8304 0.7500
0.8304 0.1696 0.2500
0.2338 0.4644 0.3224
0.4644 0.2338 0.8224
0.5356 0.7662 0.1776
0.7662 0.5356 0.6776
0.0391 0.1800 0.0018
0.1800 0.0391 0.5018
0.8200 0.9609 0.4982
0.9609 0.8200 0.9982

Stability verdict: z, ahead by 19 meV/atom

--- w ---
LiTl2As2, relaxed, DFT PBE; total magnetization = 0.000 μB per formula unit
1.0
2.8414 -7.7102 0.0000
2.8414 7.7102 0.0000
0.0000 0.0000 5.9117
Li Tl As
2 4 4
Direct
0.0000 0.0000 0.0000
0.0000 0.0000 0.5000
0.2082 0.7918 0.7500
0.4274 0.5726 0.2500
0.5726 0.4274 0.7500
0.7918 0.2082 0.2500
0.0978 0.3322 0.7500
0.3322 0.0978 0.2500
0.6678 0.9022 0.7500
0.9022 0.6678 0.2500

--- x ---
LiTl2As2, relaxed, DFT PBE; total magnetization = 0.000 μB per formula unit
1.0
-2.2596 2.2596 6.8631
2.2596 -2.2596 6.8631
2.2596 2.2596 -6.8631
Li Tl As
1 2 2
Direct
0.0000 0.0000 0.0000
0.2500 0.7500 0.5000
0.7500 0.2500 0.5000
0.4134 0.4134 0.0000
0.5866 0.5866 0.0000

Stability verdict: w, ahead by 152 meV/atom

--- w ---
Li3TlAs, relaxed, DFT PBE; total magnetization = 0.000 μB per formula unit
1.0
4.8502 0.0000 0.0000
0.0000 4.8502 0.0000
0.0000 0.0000 4.8502
Li Tl As
3 1 1
Direct
0.0000 0.0000 0.5000
0.0000 0.5000 0.0000
0.5000 0.0000 0.0000
0.5000 0.5000 0.5000
0.0000 0.0000 0.0000

--- x ---
Li3TlAs, relaxed, DFT PBE; total magnetization = 0.000 μB per formula unit
1.0
6.3461 0.0000 0.0000
0.0000 4.2631 0.0000
-2.3423 0.0000 6.9680
Li Tl As
6 2 2
Direct
0.0762 0.2500 0.1388
0.1390 0.7500 0.5551
0.4057 0.7500 0.9167
0.5943 0.2500 0.0833
0.8610 0.2500 0.4449
0.9238 0.7500 0.8612
0.4308 0.7500 0.3241
0.5692 0.2500 0.6759
0.1652 0.2500 0.7964
0.8348 0.7500 0.2036

Stability verdict: x, ahead by 123 meV/atom